<P>
A plane-wave DFT calculation with PBE was carried out for a relaxed structure of GdMg2Ga.

SG	P4/mmm (123)

Unit cell a=4.797 b=4.379 c=4.379 alpha=90.00 beta=90.00 gamma=90.00
Sites, in units of the cell vectors:
Mg 0.000 0.000 0.500
Mg 0.000 0.500 0.000
Gd 0.500 0.500 0.500
Ga 0.500 0.000 0.000

<Q>
A plane-wave DFT calculation with PBE was carried out for a relaxed structure of GdMg2Ga.

SG	R-3m (166)

Unit cell a=3.203 b=3.203 c=11.155 alpha=81.74 beta=81.74 gamma=60.00
Sites, in units of the cell vectors:
Mg 0.098 0.098 0.707
Mg 0.902 0.902 0.293
Gd 0.000 0.000 0.000
Ga 0.500 0.500 0.500

Ranking the structures above from most stable to least stable yields <P>, <Q>.